No. 1
Material: NaMgInBr6
Method: DFT, PBE
State: relaxed

Structure (extended XYZ):
```
18
Lattice="6.936 0.000 0.000 -3.468 6.007 0.000 0.000 0.000 13.365" Properties=species:S:1:pos:R:3 pbc="T T T"
Br 0.968 5.990 4.891
Mg 3.468 2.002 10.024
In 0.000 4.004 10.024
Na 0.000 0.000 6.683
Br -0.968 5.990 1.792
Br 1.235 2.173 4.891
Na 0.000 0.000 0.000
Br 1.264 2.156 11.574
Br 4.436 0.017 11.574
Br 2.233 3.834 8.474
Br -1.235 2.173 1.792
Br -2.204 3.850 4.891
Mg 0.000 4.004 3.341
Br 2.500 0.017 8.474
In 3.468 2.002 3.341
Br 4.703 3.834 11.574
Br 5.672 2.156 8.474
Br 2.204 3.850 1.792
```

Computed properties:
E_form (uncorrected) in meV/atom: -1190
VASP energy in eV/atom: -2.933

No. 2
Material: Ca2Al3Au9
Method: DFT, PBE
State: relaxed

Structure (extended XYZ):
```
28
Lattice="-2.414 -6.484 -3.822 0.568 -0.044 7.884 -8.010 7.429 0.604" Properties=species:S:1:pos:R:3 pbc="T T T"
Au -4.739 2.787 3.658
Au -1.770 1.140 6.489
Au -0.598 -0.923 4.706
Au -6.107 -1.499 3.749
Al -5.964 -1.789 -1.562
Au -5.117 -1.886 1.008
Al -1.207 -3.242 -1.911
Al -4.928 0.450 2.333
Au -7.253 1.228 3.369
Au -2.602 -0.327 1.298
Au -8.234 3.941 3.924
Al -1.633 -5.377 1.985
Au -1.622 -3.040 0.742
Ca -6.681 3.395 1.142
Ca -8.080 -0.937 1.241
Au -9.257 1.824 -0.040
Ca -3.174 -2.494 3.524
Au -7.157 6.075 7.815
Al -8.222 6.278 2.681
Au -6.525 2.651 5.986
Au -4.046 0.223 4.914
Au -3.330 -1.750 -1.320
Al -3.891 2.690 6.228
Au -8.086 -0.239 -1.823
Ca -1.776 1.838 3.425
Au -3.749 2.400 0.917
Au -2.699 -5.174 -3.149
Au -5.809 0.677 -0.248
```

Computed properties:
Formation energy from the elements in meV per atom: -572
VASP energy in eV/atom: -3.766

No. 3
Material: Tb5CoAg
Method: DFT, PBE
State: relaxed

Structure (extended XYZ):
```
14
Lattice="5.888 -0.172 0.009 1.705 5.638 0.009 2.778 2.000 11.202" Properties=species:S:1:pos:R:3 pbc="T T T"
Tb 3.785 1.204 0.746
Tb 6.638 3.259 4.874
Co 0.000 0.000 0.000
Tb 3.732 4.207 6.347
Tb 6.585 6.261 10.474
Ag 6.229 3.747 8.411
Tb 6.796 6.330 7.029
Tb 3.574 1.136 4.191
Tb 7.945 1.363 8.411
Tb 3.600 4.029 9.792
Tb 2.425 6.102 2.810
Ag 4.141 3.719 2.810
Co 1.389 1.000 5.601
Tb 6.770 3.437 1.428
```

Computed properties:
Formation energy from the elements in meV per atom: -43
VASP energy in eV/atom: -4.773

No. 4
Material: Ce4C2Se
Method: DFT, PBE
State: relaxed

Structure (extended XYZ):
```
7
Lattice="3.672 0.000 0.534 1.797 3.203 0.534 -0.055 -0.032 13.281" Properties=species:S:1:pos:R:3 pbc="T T T"
Ce 4.777 2.797 5.838
Ce 0.638 0.374 8.510
C 3.143 1.840 4.175
C 2.272 1.330 10.173
Se 0.000 0.000 0.000
Ce 3.885 2.275 11.975
Ce 1.530 0.896 2.373
```

Computed properties:
E_form (uncorrected) in meV/atom: -598
VASP energy in eV/atom: -7.121